Below is a relaxed AgAsCl2 crystal, with properties calculated at the GGA-PBE level.

a = 7.581 Å, b = 7.599 Å, c = 3.186 Å
α = 90.00°, β = 90.00°, γ = 90.00°
Space group Cmmm (No. 65)
One atom of each set of equivalent atoms:
Ag 0.000 0.000 0.000
As 0.000 0.500 0.000
Cl 0.250 0.250 0.000

Properties
DOS(E_F): 1.87 states/eV per cell
formation energy from raw total energies: -0.017 eV per atom
total DFT energy (no corrections): -2.816 eV/atom